# 1
Compound: Pu2BrCl2
Source: Alexandria
Functional: PBE
Structure: relaxed

Results
The value obtained for the formation energy (no corrections) is -6.8 eV/f.u. Its symmetry is No. 12. The total magnetic moment comes out at 25.26 μB per cell.

Cell and atoms, written as POSCAR:
```
Pu2BrCl2
1.0
6.272 -2.849 0.000
6.272 2.849 0.000
-2.709 0.000 7.720
Pu Br Cl
4 2 4
direct
0.009 0.009 0.274
0.344 0.344 0.431
0.656 0.656 0.569
0.991 0.991 0.726
0.169 0.169 0.079
0.831 0.831 0.921
0.180 0.180 0.604
0.495 0.495 0.233
0.505 0.505 0.767
0.820 0.820 0.396
```

=====

# 2
Compound: Mg5Hg4Pt
Source: Alexandria
Functional: PBE
Structure: relaxed

Results
Its symmetry is No. 123. The total magnetic moment comes out at 0.00 μB per cell. For the formation energy, the calculation gives -34.2 kJ/mol of atoms.

Cell and atoms, written as POSCAR:
```
Mg5Hg4Pt
1.0
3.335 0.000 0.000
0.000 3.335 0.000
0.000 0.000 18.061
Mg Hg Pt
5 4 1
direct
0.000 0.000 0.000
0.000 0.000 0.212
0.000 0.000 0.420
0.000 0.000 0.580
0.000 0.000 0.788
0.500 0.500 0.106
0.500 0.500 0.316
0.500 0.500 0.684
0.500 0.500 0.894
0.500 0.500 0.500
```

=====

# 3
Compound: TiTl2Co
Source: Alexandria
Functional: PBE
Structure: relaxed

Results
Its symmetry is No. 122. The total magnetic moment comes out at 0.00 μB per cell. For the formation energy, the calculation gives 57.3 kJ/mol of atoms.

Cell and atoms, written as POSCAR:
```
TiTl2Co
1.0
7.476 0.000 0.000
0.000 7.476 0.000
0.000 0.000 5.792
Ti Tl Co
4 8 4
direct
0.000 0.000 0.000
0.000 0.500 0.250
0.500 0.000 0.750
0.500 0.500 0.500
0.219 0.750 0.625
0.250 0.219 0.375
0.250 0.281 0.875
0.281 0.750 0.125
0.719 0.250 0.125
0.750 0.719 0.875
0.750 0.781 0.375
0.781 0.250 0.625
0.000 0.000 0.500
0.000 0.500 0.750
0.500 0.000 0.250
0.500 0.500 0.000
```

=====

# 4
Compound: Nd3Sm5Hg2
Source: Alexandria
Functional: PBE
Structure: relaxed

Results
Its symmetry is No. 72. The total magnetic moment comes out at 0.00 μB per cell. For the formation energy, the calculation gives 3.1 kJ/mol of atoms.

Cell and atoms, written as POSCAR:
```
Nd3Sm5Hg2
1.0
-6.868 7.214 3.416
6.868 -7.214 3.416
6.868 7.214 -3.416
Nd Sm Hg
6 10 4
direct
0.226 0.149 0.375
0.250 0.250 0.000
0.274 0.649 0.923
0.726 0.351 0.077
0.750 0.750 0.000
0.774 0.851 0.625
0.178 0.411 0.589
0.250 0.515 0.265
0.250 0.750 0.500
0.250 0.985 0.735
0.322 0.911 0.234
0.678 0.089 0.766
0.750 0.015 0.265
0.750 0.250 0.500
0.750 0.485 0.735
0.822 0.589 0.411
0.128 0.863 0.991
0.372 0.363 0.735
0.628 0.637 0.265
0.872 0.137 0.009
```

=====

# 5
Compound: TaIrBr
Source: Alexandria
Functional: PBE
Structure: relaxed

Results
The value obtained for the formation energy (no corrections) is 0.0 eV/f.u. Its symmetry is No. 107. The total magnetic moment comes out at 0.00 μB per cell. The polymorph energy (0 for the lowest one) comes out at 0.000 eV per atom.

Cell and atoms, written as POSCAR:
```
TaIrBr
1.0
3.071 0.000 0.000
0.000 3.071 0.000
0.000 0.000 12.507
Ta Ir Br
2 2 2
direct
0.000 0.000 0.000
0.500 0.500 0.500
0.000 0.000 0.623
0.500 0.500 0.123
0.000 0.000 0.351
0.500 0.500 0.851
```

=====

# 6
Compound: Fe4CoNi7
Source: Alexandria
Functional: PBE
Structure: relaxed

Results
Its symmetry is No. 2. The total magnetic moment comes out at 16.98 μB per cell. For the formation energy, the calculation gives -3.4 kJ/mol of atoms.

Cell and atoms, written as POSCAR:
```
Fe4CoNi7
1.0
4.355 0.000 0.000
-0.022 5.028 0.000
-2.169 -1.217 6.142
Fe Co Ni
4 1 7
direct
0.175 0.161 0.171
0.323 0.578 0.829
0.677 0.422 0.171
0.825 0.839 0.829
0.500 0.000 0.500
0.002 0.752 0.501
0.172 0.664 0.165
0.333 0.084 0.836
0.500 0.500 0.500
0.667 0.916 0.164
0.828 0.336 0.835
0.998 0.248 0.499
```

=====

# 7
Compound: Ac2PdSe
Source: Alexandria
Functional: PBE
Structure: relaxed

Results
The value obtained for the formation energy (no corrections) is -5.0 eV/f.u. Its symmetry is No. 160. The total magnetic moment comes out at 0.00 μB per cell. The polymorph energy (0 for the lowest one) comes out at 0.055 eV per atom.

Cell and atoms, written as POSCAR:
```
Ac2PdSe
1.0
4.345 0.000 0.000
-2.173 3.763 0.000
0.000 0.000 23.921
Ac Pd Se
6 3 3
direct
0.000 0.000 0.000
0.000 0.000 0.183
0.333 0.667 0.667
0.333 0.667 0.850
0.667 0.333 0.333
0.667 0.333 0.517
0.000 0.000 0.591
0.333 0.667 0.257
0.667 0.333 0.924
0.000 0.000 0.760
0.333 0.667 0.427
0.667 0.333 0.093
```

=====

# 8
Compound: Pm4Cd2InHg
Source: Alexandria
Functional: PBE
Structure: relaxed

Results
Its symmetry is No. 166. The total magnetic moment comes out at 1.49 μB per cell. For the formation energy, the calculation gives -38.7 kJ/mol of atoms.

Cell and atoms, written as POSCAR:
```
Pm4Cd2InHg
1.0
2.710 1.565 8.849
-2.710 1.565 8.849
0.000 -3.129 8.849
Pm Cd In Hg
4 2 1 1
direct
0.124 0.124 0.124
0.374 0.374 0.374
0.626 0.626 0.626
0.876 0.876 0.876
0.248 0.248 0.248
0.752 0.752 0.752
0.500 0.500 0.500
0.000 0.000 0.000
```

=====

# 9
Compound: LiAl2SbN
Source: Alexandria
Functional: PBE
Structure: relaxed

Results
The value obtained for the formation energy (no corrections) is -1.5 eV/f.u. Its symmetry is No. 123. The total magnetic moment comes out at 0.00 μB per cell.

Cell and atoms, written as POSCAR:
```
LiAl2SbN
1.0
4.163 0.000 0.000
0.000 4.163 0.000
0.000 0.000 4.234
Li Al Sb N
1 2 1 1
direct
0.000 0.000 0.000
0.000 0.500 0.500
0.500 0.000 0.500
0.500 0.500 0.000
0.000 0.000 0.500
```

=====

# 10
Compound: VCr2Os
Source: Alexandria
Functional: PBE
Structure: relaxed

Results
Its symmetry is No. 123. The total magnetic moment comes out at 0.36 μB per cell. For the formation energy, the calculation gives -5.5 kJ/mol of atoms. The polymorph energy (0 for the lowest one) comes out at 0.016 eV per atom.

Cell and atoms, written as POSCAR:
```
VCr2Os
1.0
2.918 0.000 0.000
0.000 2.918 0.000
0.000 0.000 5.957
V Cr Os
1 2 1
direct
0.000 0.000 0.000
0.500 0.500 0.236
0.500 0.500 0.764
0.000 0.000 0.500
```

=====

# 11
Compound: InFeCo2B
Source: Alexandria
Functional: PBE
Structure: relaxed

Results
Its symmetry is No. 123. The total magnetic moment comes out at 2.34 μB per cell. For the formation energy, the calculation gives -2.2 kJ/mol of atoms.

Cell and atoms, written as POSCAR:
```
InFeCo2B
1.0
3.898 0.000 0.000
0.000 3.898 0.000
0.000 0.000 3.896
In Fe Co B
1 1 2 1
direct
0.000 0.000 0.000
0.500 0.500 0.000
0.000 0.500 0.500
0.500 0.000 0.500
0.500 0.500 0.500
```

=====

# 12
Compound: Ti7Tl3In
Source: Alexandria
Functional: PBE
Structure: relaxed

Results
Its symmetry is No. 71. The total magnetic moment comes out at 5.91 μB per cell. For the formation energy, the calculation gives 32.6 kJ/mol of atoms.

Cell and atoms, written as POSCAR:
```
Ti7Tl3In
1.0
-2.576 4.379 5.077
2.576 -4.379 5.077
2.576 4.379 -5.077
Ti Tl In
7 3 1
direct
0.000 0.000 0.000
0.083 0.756 0.327
0.313 0.500 0.813
0.429 0.756 0.673
0.571 0.244 0.327
0.687 0.500 0.187
0.917 0.244 0.673
0.270 0.270 0.000
0.500 0.000 0.500
0.730 0.730 0.000
0.000 0.500 0.500
```

=====

# 13
Compound: Pu2Ge3Ir
Source: Alexandria
Functional: PBE
Structure: relaxed

Results
Its symmetry is No. 8. The total magnetic moment comes out at 0.09 μB per cell. For the formation energy, the calculation gives -46.5 kJ/mol of atoms. The polymorph energy (0 for the lowest one) comes out at 0.000 eV per atom.

Cell and atoms, written as POSCAR:
```
Pu2Ge3Ir
1.0
10.426 0.000 0.000
0.000 4.390 0.000
-4.380 0.000 5.254
Pu Ge Ir
4 6 2
direct
0.000 0.000 0.000
0.115 0.000 0.605
0.500 0.500 0.000
0.615 0.500 0.605
0.188 0.500 0.964
0.235 0.500 0.406
0.384 0.000 0.194
0.688 0.000 0.964
0.735 0.000 0.406
0.884 0.500 0.194
0.383 0.000 0.576
0.883 0.500 0.576
```

=====

# 14
Compound: BaFe2BMo
Source: Alexandria
Functional: PBE
Structure: relaxed

Results
Its symmetry is No. 123. The total magnetic moment comes out at 0.00 μB per cell. For the formation energy, the calculation gives 198.3 kJ/mol of atoms.

Cell and atoms, written as POSCAR:
```
BaFe2BMo
1.0
4.402 0.000 0.000
0.000 4.402 0.000
0.000 0.000 5.995
Ba Fe B Mo
1 2 1 1
direct
0.000 0.000 0.000
0.000 0.500 0.500
0.500 0.000 0.500
0.500 0.500 0.000
0.000 0.000 0.500
```

=====

# 15
Compound: Mg7Al22O40
Source: Alexandria
Functional: PBE
Structure: relaxed

Results
The value obtained for the formation energy (no corrections) is -203.4 eV/f.u. Its symmetry is No. 8. The total magnetic moment comes out at 0.00 μB per cell.

Cell and atoms, written as POSCAR:
```
Mg7Al22O40
1.0
4.961 -2.869 0.000
4.961 2.869 0.000
-3.391 0.000 23.396
Mg Al O
7 22 40
direct
0.000 0.000 0.000
0.124 0.124 0.875
0.280 0.280 0.329
0.531 0.531 0.078
0.592 0.592 0.797
0.874 0.874 0.123
0.930 0.930 0.278
0.002 0.492 0.001
0.019 0.019 0.510
0.056 0.056 0.722
0.086 0.595 0.799
0.201 0.698 0.603
0.203 0.203 0.101
0.309 0.804 0.404
0.337 0.337 0.482
0.377 0.377 0.696
0.403 0.905 0.202
0.404 0.404 0.203
0.462 0.462 0.922
0.492 0.002 0.001
0.595 0.086 0.799
0.605 0.605 0.303
0.675 0.675 0.531
0.698 0.201 0.603
0.728 0.728 0.674
0.792 0.792 0.897
0.804 0.309 0.404
0.806 0.806 0.405
0.905 0.403 0.202
0.033 0.033 0.647
0.062 0.557 0.650
0.071 0.071 0.156
0.073 0.522 0.157
0.126 0.644 0.947
0.145 0.673 0.451
0.149 0.149 0.453
0.160 0.160 0.958
0.238 0.717 0.749
0.245 0.245 0.749
0.252 0.252 0.246
0.291 0.736 0.253
0.337 0.337 0.049
0.337 0.835 0.550
0.346 0.888 0.052
0.365 0.365 0.556
0.432 0.432 0.844
0.476 0.476 0.359
0.476 0.920 0.359
0.479 0.937 0.846
0.522 0.073 0.157
0.539 0.539 0.650
0.557 0.062 0.650
0.557 0.557 0.162
0.644 0.126 0.947
0.649 0.649 0.948
0.655 0.655 0.451
0.673 0.145 0.451
0.717 0.238 0.749
0.736 0.291 0.253
0.736 0.736 0.252
0.750 0.750 0.750
0.835 0.337 0.550
0.835 0.835 0.039
0.861 0.861 0.551
0.888 0.346 0.052
0.920 0.476 0.359
0.927 0.927 0.844
0.937 0.479 0.846
0.961 0.961 0.365
```